Record 1
Compound: La3Tb6Dy2Mg
Source: Alexandria via LeMat-Bulk
Functional: PBE
Structure: relaxed

Results
Calculated formation energy = 0.035 eV/atom
Space-group type = C2/m (12)
Crystal system = monoclinic

abc: 6.211 6.211 11.837
angles: 95.04 95.04 120.05
Atoms (fractional coordinates):
La1 0.000 0.000 0.000
La2 0.334 0.666 0.000
La3 0.666 0.334 0.000
Tb1 0.088 0.420 0.257
Tb2 0.249 0.249 0.743
Tb3 0.420 0.088 0.257
Tb4 0.580 0.912 0.743
Tb5 0.751 0.751 0.257
Tb6 0.912 0.580 0.743
Dy1 0.166 0.834 0.500
Dy2 0.834 0.166 0.500
Mg1 0.500 0.500 0.500

Record 2
Compound: Ba5TlHg
Source: Alexandria via LeMat-Bulk
Functional: PBE
Structure: relaxed

Results
Calculated formation energy = -0.165 eV/atom
Space-group type = C2/c (15)
Crystal system = monoclinic

abc: 8.262 8.262 13.389
angles: 109.73 109.73 60.66
Atoms (fractional coordinates):
Ba1 0.011 0.989 0.750
Ba2 0.060 0.407 0.649
Ba3 0.240 0.533 0.991
Ba4 0.407 0.060 0.149
Ba5 0.467 0.760 0.509
Ba6 0.533 0.240 0.491
Ba7 0.593 0.940 0.851
Ba8 0.760 0.467 0.009
Ba9 0.940 0.593 0.351
Ba10 0.989 0.011 0.250
Tl1 0.455 0.545 0.750
Tl2 0.545 0.455 0.250
Hg1 0.000 0.000 0.000
Hg2 0.000 0.000 0.500

Record 3
Compound: Co5Mo
Source: Alexandria via LeMat-Bulk
Functional: PBE
Structure: relaxed

Results
Calculated formation energy = 0.032 eV/atom
Space-group type = P-62m (189)
Crystal system = hexagonal
Relative energy among the computed polymorphs = 0 meV per atom

abc: 4.413 4.413 4.044
angles: 90.00 90.00 120.00
Atoms (fractional coordinates):
Co1 0.000 0.649 0.000
Co2 0.333 0.667 0.500
Co3 0.351 0.351 0.000
Co4 0.649 0.000 0.000
Co5 0.667 0.333 0.500
Mo1 0.000 0.000 0.500

Record 4
Compound: LaNd7Tm3
Source: Alexandria via LeMat-Bulk
Functional: PBE
Structure: relaxed

Results
Calculated formation energy = 0.216 eV/atom
Space-group type = C2/m (12)
Crystal system = monoclinic
Relative energy among the computed polymorphs = 24 meV per atom

abc: 7.812 7.812 6.469
angles: 94.59 94.59 81.60
Atoms (fractional coordinates):
La1 0.000 0.000 0.000
Nd1 0.000 0.000 0.500
Nd2 0.078 0.429 0.759
Nd3 0.266 0.266 0.287
Nd4 0.429 0.078 0.759
Nd5 0.571 0.922 0.241
Nd6 0.734 0.734 0.713
Nd7 0.922 0.571 0.241
Tm1 0.332 0.668 0.500
Tm2 0.500 0.500 0.000
Tm3 0.668 0.332 0.500

Record 5
Compound: YInO
Source: Alexandria via LeMat-Bulk
Functional: PBE
Structure: relaxed

Results
Space-group type = P4/nmm (129)
Crystal system = tetragonal
Formation energy without anion corrections = -1.958 eV/atom

abc: 3.280 3.280 10.639
angles: 90.00 90.00 90.00
Atoms (fractional coordinates):
Y1 0.250 0.250 0.134
Y2 0.750 0.750 0.866
In1 0.250 0.250 0.611
In2 0.750 0.750 0.389
O1 0.250 0.250 0.916
O2 0.750 0.750 0.084

Record 6
Compound: Dy6Ho8Mg
Source: Alexandria via LeMat-Bulk
Functional: PBE
Structure: relaxed

Results
Calculated formation energy = 0.098 eV/atom
Space-group type = R-3 (148)
Crystal system = trigonal
Relative energy among the computed polymorphs = 0 meV per atom

abc: 8.500 8.500 8.500
angles: 63.58 63.58 63.58
Atoms (fractional coordinates):
Dy1 0.047 0.608 0.729
Dy2 0.271 0.953 0.392
Dy3 0.392 0.271 0.953
Dy4 0.608 0.729 0.047
Dy5 0.729 0.047 0.608
Dy6 0.953 0.392 0.271
Ho1 0.076 0.076 0.076
Ho2 0.218 0.608 0.244
Ho3 0.244 0.218 0.608
Ho4 0.392 0.756 0.782
Ho5 0.608 0.244 0.218
Ho6 0.756 0.782 0.392
Ho7 0.782 0.392 0.756
Ho8 0.924 0.924 0.924
Mg1 0.500 0.500 0.500